P | Here is crystalline NaNbBr2 at its relaxed geometry from the Alexandria database. Energies are from PBE.

Lattice parameters (Å, degrees): 10.877 10.877 10.877 18.10 18.10 18.10
Fractional coordinates of all 4 atoms:
Br  0.891  0.891  0.891
Na  0.000  0.000  0.000
Nb  0.500  0.500  0.500
Br  0.109  0.109  0.109

Output
space-group type	R-3m

=====

Q | Here is crystalline NaNbBr2 at its relaxed geometry from the Alexandria database. Energies are from PBE.

Lattice parameters (Å, degrees): 4.833 4.833 4.833 60.00 60.00 60.00
Fractional coordinates of all 4 atoms:
Br  0.250  0.250  0.250
Na  0.000  0.000  0.000
Br  0.750  0.750  0.750
Nb  0.500  0.500  0.500

Output
space-group type	Fm-3m

=====

R | Here is crystalline NaNbBr2 at its relaxed geometry from the Alexandria database. Energies are from PBE.

Lattice parameters (Å, degrees): 7.690 7.690 6.646 54.65 54.65 90.00
Last column: magnetic moment on the atom in μB.
Fractional coordinates of all 8 atoms:
Br  0.875  0.900  0.750  0.03
Br  0.650  0.125  0.250  0.03
Br  0.375  0.350  0.750  0.03
Na  0.250  0.750  0.500  0.02
Br  0.100  0.625  0.250  0.03
Nb  0.750  0.250  0.500  2.82
Na  0.500  0.500  0.000  0.02
Nb  0.000  0.000  0.000  2.83

Output
space-group type	I-42d

=====

Which of them is the least stable? Correct choice: Q.

=====

P | Here is crystalline Na2NbBr6 at its relaxed geometry from the Alexandria database. Energies are from PBE.

Lattice parameters (Å, degrees): 7.346 7.346 7.544 60.86 60.86 60.00
Last column: magnetic moment on the atom in μB.
Fractional coordinates of all 9 atoms:
Br  0.653  0.225  0.242  -0.01
Br  0.880  0.653  0.242  -0.01
Br  0.225  0.880  0.242  -0.01
Na  0.797  0.797  0.609  0.00
Nb  0.000  0.000  0.000  0.89
Br  0.347  0.775  0.758  -0.01
Na  0.203  0.203  0.391  0.00
Br  0.120  0.347  0.758  -0.01
Br  0.775  0.120  0.758  -0.01

Output
space-group type	R-3

=====

Q | Here is crystalline Na2NbBr6 at its relaxed geometry from the Alexandria database. Energies are from PBE.

Lattice parameters (Å, degrees): 6.782 6.782 12.761 90.00 90.00 90.00
Last column: magnetic moment on the atom in μB.
Fractional coordinates of all 18 atoms:
Br  0.189  0.811  0.853  0.00
Na  0.500  0.500  0.831  0.00
Br  0.231  0.769  0.500  -0.01
Br  0.689  0.689  0.647  0.00
Br  0.769  0.231  0.500  -0.01
Na  0.000  0.000  0.331  0.00
Br  0.689  0.689  0.353  0.00
Na  0.500  0.500  0.169  0.00
Nb  0.000  0.000  0.000  0.87
Br  0.811  0.189  0.853  0.00
Br  0.189  0.811  0.147  0.00
Br  0.311  0.311  0.353  0.00
Br  0.811  0.189  0.147  0.00
Nb  0.500  0.500  0.500  0.87
Na  0.000  0.000  0.669  0.00
Br  0.269  0.269  0.000  -0.01
Br  0.731  0.731  0.000  -0.01
Br  0.311  0.311  0.647  0.00

Output
space-group type	P4_2/mnm

=====

Which of them is the least stable? Correct choice: Q.

=====

P | Here is crystalline Na2NbBr at its relaxed geometry from the Alexandria database. Energies are from PBE.

Lattice parameters (Å, degrees): 5.488 5.488 5.488 60.00 60.00 60.00
Last column: magnetic moment on the atom in μB.
Fractional coordinates of all 4 atoms:
Na  0.750  0.750  0.750  0.04
Br  0.000  0.000  0.000  0.10
Na  0.250  0.250  0.250  0.04
Nb  0.500  0.500  0.500  3.29

Output
space-group type	Fm-3m

=====

Q | Here is crystalline Na2NbBr at its relaxed geometry from the Alexandria database. Energies are from PBE.

Lattice parameters (Å, degrees): 8.988 8.988 6.964 49.81 49.81 90.00
Last column: magnetic moment on the atom in μB.
Fractional coordinates of all 8 atoms:
Br  0.500  0.500  0.000  0.04
Na  0.875  0.818  0.750  0.01
Na  0.568  0.125  0.250  0.01
Na  0.182  0.625  0.250  0.01
Br  0.250  0.750  0.500  0.04
Nb  0.000  0.000  0.000  2.76
Nb  0.750  0.250  0.500  2.76
Na  0.375  0.432  0.750  0.01

Output
space-group type	I-42d

=====

Which of them is the least stable? Correct choice: P.

=====

P | Here is crystalline NaNiBr at its relaxed geometry from the Alexandria database. Energies are from PBE.

Lattice parameters (Å, degrees): 5.045 8.474 5.951 44.60 64.92 90.00
Fractional coordinates of all 6 atoms:
Na  0.500  0.000  0.000
Br  0.967  0.717  0.067
Na  0.500  0.500  0.000
Ni  0.500  0.000  0.500
Br  0.033  0.283  0.933
Ni  0.000  0.000  0.500

Output
space-group type	Imma

=====

Q | Here is crystalline NaNiBr at its relaxed geometry from the Alexandria database. Energies are from PBE.

Lattice parameters (Å, degrees): 4.369 4.369 4.369 60.00 60.00 60.00
Fractional coordinates of all 3 atoms:
Na  0.250  0.250  0.250
Br  0.750  0.750  0.750
Ni  0.500  0.500  0.500

Output
space-group type	F-43m

=====

Which of them is the least stable? Correct choice: Q.

=====

P | Here is crystalline NaNiBr at its relaxed geometry from the Alexandria database. Energies are from PBE.

Lattice parameters (Å, degrees): 3.543 5.541 7.842 75.48 78.12 71.50
Fractional coordinates of all 6 atoms:
Br  0.039  0.836  0.824
Na  0.881  0.700  0.226
Ni  0.136  0.022  0.410
Na  0.350  0.403  0.617
Ni  0.624  0.863  0.610
Br  0.605  0.253  0.225

Output
space-group type	P1

=====

Q | Here is crystalline NaNiBr at its relaxed geometry from the Alexandria database. Energies are from PBE.

Lattice parameters (Å, degrees): 3.913 11.207 3.913 110.44 60.09 100.03
Last column: magnetic moment on the atom in μB.
Fractional coordinates of all 6 atoms:
Ni  0.840  0.248  0.982  0.93
Na  0.173  0.998  0.066  0.00
Na  0.174  0.640  0.708  0.00
Br  0.507  0.819  0.221  0.00
Br  0.840  0.471  0.205  0.05
Ni  0.506  0.201  0.602  0.93

Output
space-group type	Cm

=====

Which of them is the least stable? Correct choice: P.

=====

P | Here is crystalline NaNiBr at its relaxed geometry from the Alexandria database. Energies are from PBE.

Lattice parameters (Å, degrees): 10.523 3.402 3.443 90.00 99.36 90.00
Last column: magnetic moment on the atom in μB.
Fractional coordinates of all 6 atoms:
Na  0.109  0.500  0.010  0.00
Ni  0.473  0.500  0.698  0.81
Br  0.926  0.000  0.420  0.00
Ni  0.541  0.000  0.229  0.83
Na  0.753  0.500  0.835  0.00
Br  0.284  0.000  0.598  0.04

Output
space-group type	Pm

=====

Q | Here is crystalline NaNiBr at its relaxed geometry from the Alexandria database. Energies are from PBE.

Lattice parameters (Å, degrees): 9.301 5.751 5.751 144.50 128.41 51.59
Fractional coordinates of all 6 atoms:
Ni  0.899  0.844  0.156
Br  0.308  0.466  0.534
Ni  0.101  0.156  0.844
Na  0.252  0.778  0.222
Br  0.692  0.534  0.466
Na  0.748  0.222  0.778

Output
space-group type	C2/m

=====

R | Here is crystalline NaNiBr at its relaxed geometry from the Alexandria database. Energies are from PBE.

Lattice parameters (Å, degrees): 4.079 4.079 8.737 90.00 90.00 120.00
Fractional coordinates of all 6 atoms:
Na  0.000  0.000  0.000
Br  0.667  0.333  0.250
Br  0.333  0.667  0.750
Ni  0.333  0.667  0.250
Ni  0.667  0.333  0.750
Na  0.000  0.000  0.500

Output
space-group type	P6_3/mmc

=====

Which of them is the least stable? Correct choice: R.

=====

P | Here is crystalline NaNiBr at its relaxed geometry from the Alexandria database. Energies are from PBE.

Lattice parameters (Å, degrees): 4.370 5.019 6.925 90.00 108.14 89.99
Fractional coordinates of all 6 atoms:
Br  0.362  0.101  0.948
Na  0.119  0.101  0.474
Na  0.886  0.601  0.000
Br  0.645  0.601  0.526
Ni  0.502  0.351  0.237
Ni  0.502  0.851  0.237

Output
space-group type	P2_1/m

=====

Q | Here is crystalline NaNiBr at its relaxed geometry from the Alexandria database. Energies are from PBE.

Lattice parameters (Å, degrees): 4.962 4.962 8.811 90.00 90.00 120.00
Fractional coordinates of all 6 atoms:
Na  0.667  0.333  0.750
Ni  0.000  0.000  0.000
Ni  0.000  0.000  0.500
Na  0.333  0.667  0.250
Br  0.000  0.000  0.750
Br  0.000  0.000  0.250

Output
space-group type	P6_3/mmc

=====

Which of them is the least stable? Correct choice: Q.

=====

P | Here is crystalline NaNiBr at its relaxed geometry from the Alexandria database. Energies are from PBE.

Lattice parameters (Å, degrees): 7.817 4.251 4.270 90.00 102.40 90.00
Fractional coordinates of all 6 atoms:
Ni  0.111  0.000  0.699
Br  0.554  0.500  0.855
Ni  0.437  0.000  0.789
Na  0.715  0.000  0.396
Na  0.268  0.500  0.242
Br  0.003  0.500  0.634

Output
space-group type	Pm

=====

Q | Here is crystalline NaNiBr at its relaxed geometry from the Alexandria database. Energies are from PBE.

Lattice parameters (Å, degrees): 4.094 4.094 4.243 90.00 90.00 120.00
Fractional coordinates of all 3 atoms:
Br  0.000  0.000  0.000
Ni  0.333  0.667  0.000
Na  0.667  0.333  0.500

Output
space-group type	P-6m2

=====

Which of them is the least stable? Correct choice: Q.

=====

P | Here is crystalline NaNiBr at its relaxed geometry from the Alexandria database. Energies are from PBE.

Lattice parameters (Å, degrees): 21.569 7.579 7.579 149.89 159.43 20.57
Last column: magnetic moment on the atom in μB.
Fractional coordinates of all 6 atoms:
Na  0.000  0.555  0.445  0.00
Br  0.440  0.488  0.512  0.05
Na  0.451  0.134  0.866  0.00
Ni  0.870  0.940  0.060  0.81
Br  0.798  0.216  0.784  0.02
Ni  0.057  0.128  0.872  0.84

Output
space-group type	Cm

=====

Q | Here is crystalline NaNiBr at its relaxed geometry from the Alexandria database. Energies are from PBE.

Lattice parameters (Å, degrees): 4.845 4.845 5.909 90.00 90.00 90.00
Fractional coordinates of all 6 atoms:
Br  0.000  0.000  0.500
Br  0.500  0.500  0.500
Na  0.000  0.500  0.126
Na  0.500  0.000  0.874
Ni  0.000  0.500  0.618
Ni  0.500  0.000  0.382

Output
space-group type	P4/nmm

=====

Which of them is the least stable? Correct choice: Q.

=====

P | Here is crystalline NaNiBr at its relaxed geometry from the Alexandria database. Energies are from PBE.

Lattice parameters (Å, degrees): 3.496 8.732 4.849 73.89 90.00 78.42
Fractional coordinates of all 6 atoms:
Ni  0.434  0.081  0.527
Na  0.693  0.564  0.785
Br  0.232  0.486  0.324
Br  0.039  0.872  0.631
Na  0.929  0.093  0.021
Ni  0.834  0.282  0.427

Output
space-group type	Imm2

=====

Q | Here is crystalline NaNiBr at its relaxed geometry from the Alexandria database. Energies are from PBE.

Lattice parameters (Å, degrees): 4.465 9.826 3.701 100.84 114.32 66.64
Fractional coordinates of all 6 atoms:
Na  0.840  0.423  0.349
Br  0.653  0.675  0.882
Na  0.907  0.840  0.591
Br  0.118  0.073  0.313
Ni  0.347  0.182  0.983
Ni  0.712  0.185  0.666

Output
space-group type	P1

=====

Which of them is the least stable? Correct choice: P.

=====

P | Here is crystalline NaNiBr at its relaxed geometry from the Alexandria database. Energies are from PBE.

Lattice parameters (Å, degrees): 9.147 3.501 8.503 90.00 90.00 90.00
Fractional coordinates of all 12 atoms:
Na  0.224  0.750  0.490
Ni  0.518  0.750  0.595
Br  0.455  0.750  0.210
Ni  0.982  0.250  0.095
Ni  0.482  0.250  0.405
Na  0.776  0.250  0.510
Br  0.545  0.250  0.790
Br  0.955  0.750  0.290
Na  0.724  0.750  0.010
Ni  0.018  0.750  0.905
Br  0.045  0.250  0.710
Na  0.276  0.250  0.990

Output
space-group type	Pnma

=====

Q | Here is crystalline NaNiBr at its relaxed geometry from the Alexandria database. Energies are from PBE.

Lattice parameters (Å, degrees): 9.028 8.698 3.917 90.00 90.00 90.00
Fractional coordinates of all 12 atoms:
Na  0.750  0.250  0.750
Br  0.500  0.500  0.500
Br  0.000  0.000  0.000
Ni  0.000  0.250  0.153
Ni  0.500  0.250  0.347
Ni  0.500  0.750  0.653
Na  0.250  0.250  0.750
Br  0.000  0.500  0.000
Na  0.250  0.750  0.250
Na  0.750  0.750  0.250
Br  0.500  0.000  0.500
Ni  0.000  0.750  0.847

Output
space-group type	Imma

=====

R | Here is crystalline NaNiBr at its relaxed geometry from the Alexandria database. Energies are from PBE.

Lattice parameters (Å, degrees): 11.385 3.925 3.925 120.03 110.20 69.80
Last column: magnetic moment on the atom in μB.
Fractional coordinates of all 6 atoms:
Br  0.273  0.470  0.530  0.05
Na  0.747  0.823  0.177  0.00
Br  0.925  0.037  0.963  0.00
Ni  0.542  0.626  0.374  0.93
Na  0.103  0.250  0.750  0.00
Ni  0.497  0.323  0.677  0.93

Output
space-group type	Cm

=====

S | Here is crystalline NaNiBr at its relaxed geometry from the Alexandria database. Energies are from PBE.

Lattice parameters (Å, degrees): 3.445 10.909 3.445 80.93 90.00 99.10
Last column: magnetic moment on the atom in μB.
Fractional coordinates of all 6 atoms:
Na  0.256  0.634  0.448  0.00
Br  0.854  0.823  0.848  0.00
Na  0.434  0.982  0.269  0.00
Ni  0.565  0.258  0.144  0.87
Br  0.678  0.480  0.026  0.06
Ni  0.035  0.201  0.672  0.87

Output
space-group type	P1

=====

Which of them is the least stable? Correct choice: Q.